Entry 1:
! BaCa2La PBE relaxed; values from VASP
&SYSTEM
  ibrav = 0, nat = 4, ntyp = 3
/
ATOMIC_SPECIES
La 138.91 La.upf
Ba 137.33 Ba.upf
Ca 40.08 Ca.upf
CELL_PARAMETERS angstrom
6.894 0.001 -0.010
5.786 3.748 -0.010
1.088 0.322 6.894
ATOMIC_POSITIONS crystal
La 0.499 0.499 0.505
Ba 0.245 0.245 0.257
Ca 0.753 0.753 0.744
Ca 0.002 0.002 0.994
! **Space-group type**: Cm (8)
! **D(E_F)**: 1.732 states/eV/atom
! **DFT total energy**: -2.59 eV/atom
! **E above lowest polymorph**: 51.5 meV/atom
! **ΔE_f**: 0.1256 eV per atom



Entry 2:
! Ni2RhAuC PBE relaxed; values from VASP
&SYSTEM
  ibrav = 0, nat = 5, ntyp = 4
/
ATOMIC_SPECIES
C 12.01 C.upf
Rh 102.91 Rh.upf
Ni 58.69 Ni.upf
Au 196.97 Au.upf
CELL_PARAMETERS angstrom
-1.752 -3.289 1.167
3.490 -1.650 0.588
-0.002 1.343 3.782
ATOMIC_POSITIONS crystal
C 0.000 0.000 0.000
Rh 0.000 0.000 0.500
Ni 0.500 0.000 0.000
Ni 0.000 0.500 0.000
Au 0.500 0.500 0.500
! **Space-group type**: P4/mmm (123)
! **D(E_F)**: 0.576 states/eV/atom
! **DFT total energy**: -6.14 eV/atom
! **ΔE_f**: 0.1397 eV per atom



Entry 3:
! HoGa4Cu2Rh PBE relaxed; values from VASP
&SYSTEM
  ibrav = 0, nat = 8, ntyp = 4
/
ATOMIC_SPECIES
Cu 63.55 Cu.upf
Rh 102.91 Rh.upf
Ga 69.72 Ga.upf
Ho 164.93 Ho.upf
CELL_PARAMETERS angstrom
4.165 0.000 0.000
2.083 3.607 0.000
2.083 1.202 8.817
ATOMIC_POSITIONS crystal
Cu 0.239 0.239 0.283
Cu 0.761 0.761 0.717
Rh 0.500 0.500 0.500
Ga 0.128 0.128 0.616
Ga 0.400 0.400 0.800
Ga 0.600 0.600 0.200
Ga 0.872 0.872 0.384
Ho 0.000 0.000 0.000
! **Space-group type**: R-3m (166)
! **D(E_F)**: 0.348 states/eV/atom
! **DFT total energy**: -4.42 eV/atom
! **ΔE_f**: -0.3930 eV per atom



Entry 4:
! CdAs2Ru PBE relaxed; values from VASP
&SYSTEM
  ibrav = 0, nat = 8, ntyp = 3
/
ATOMIC_SPECIES
Ru 101.07 Ru.upf
As 74.92 As.upf
Cd 112.41 Cd.upf
CELL_PARAMETERS angstrom
5.853 0.000 0.000
0.000 5.853 0.000
2.926 2.926 5.799
ATOMIC_POSITIONS crystal
Ru 0.500 0.500 0.000
Ru 0.250 0.750 0.500
As 0.875 0.821 0.750
As 0.179 0.625 0.250
As 0.571 0.125 0.250
As 0.375 0.429 0.750
Cd 0.000 0.000 0.000
Cd 0.750 0.250 0.500
! **Space-group type**: I-42d (122)
! **D(E_F)**: 0.520 states/eV/atom
! **DFT total energy**: -4.75 eV/atom
! **ΔE_f**: 0.1178 eV per atom



Entry 5:
! Pt4AuSe PBE relaxed; values from VASP
&SYSTEM
  ibrav = 0, nat = 6, ntyp = 3
/
ATOMIC_SPECIES
Pt 195.08 Pt.upf
Se 78.96 Se.upf
Au 196.97 Au.upf
CELL_PARAMETERS angstrom
4.014 0.543 3.459
1.034 4.760 2.155
-1.024 0.869 5.154
ATOMIC_POSITIONS crystal
Pt 0.375 0.874 0.375
Pt 0.874 0.375 0.375
Pt 0.375 0.375 0.375
Pt 0.375 0.375 0.874
Se 0.750 0.750 0.750
Au 0.000 0.000 0.000
! **Space-group type**: F-43m (216)
! **D(E_F)**: 1.205 states/eV/atom
! **DFT total energy**: -4.78 eV/atom
! **Formation energy (no corrections)**: 217 kJ/mol of formula units



Entry 6:
! Zr3GaSi2 PBE relaxed; values from VASP
&SYSTEM
  ibrav = 0, nat = 24, ntyp = 3
/
ATOMIC_SPECIES
Zr 91.22 Zr.upf
Si 28.09 Si.upf
Ga 69.72 Ga.upf
CELL_PARAMETERS angstrom
3.879 0.000 0.000
0.000 10.455 0.000
0.000 0.000 10.981
ATOMIC_POSITIONS crystal
Zr 0.250 0.705 0.208
Zr 0.250 0.070 0.878
Zr 0.750 0.295 0.792
Zr 0.250 0.795 0.708
Zr 0.250 0.120 0.544
Zr 0.750 0.570 0.622
Zr 0.250 0.380 0.044
Zr 0.750 0.880 0.456
Zr 0.750 0.620 0.956
Zr 0.250 0.430 0.378
Zr 0.750 0.930 0.122
Zr 0.750 0.205 0.292
Si 0.250 0.512 0.811
Si 0.250 0.806 0.982
Si 0.750 0.306 0.518
Si 0.750 0.194 0.018
Si 0.250 0.694 0.482
Si 0.750 0.012 0.689
Si 0.750 0.488 0.189
Si 0.250 0.988 0.311
Ga 0.750 0.624 0.369
Ga 0.750 0.876 0.869
Ga 0.250 0.124 0.131
Ga 0.250 0.376 0.631
! **Space-group type**: Pnma (62)
! **D(E_F)**: 0.474 states/eV/atom
! **DFT total energy**: -7.29 eV/atom
! **Formation energy (no corrections)**: -407 kJ/mol of formula units



Entry 7:
! Tm2CoP3Ir4 PBE relaxed; values from VASP
&SYSTEM
  ibrav = 0, nat = 10, ntyp = 4
/
ATOMIC_SPECIES
P 30.97 P.upf
Tm 168.93 Tm.upf
Ir 192.22 Ir.upf
Co 58.93 Co.upf
CELL_PARAMETERS angstrom
-3.139 0.956 -2.342
1.837 -1.704 -3.158
-4.237 -8.594 2.171
ATOMIC_POSITIONS crystal
P 0.000 0.500 0.139
P 0.500 0.000 0.861
P 0.000 0.000 0.500
Tm 0.500 0.000 0.255
Tm 0.000 0.500 0.745
Ir 0.500 0.500 0.000
Ir 0.000 0.500 0.369
Ir 0.000 0.000 0.000
Ir 0.500 0.000 0.631
Co 0.500 0.500 0.500
! **Space-group type**: P-4m2 (115)
! **D(E_F)**: 0.432 states/eV/atom
! **DFT total energy**: -7.63 eV/atom
! **ΔE_f**: -0.8619 eV per atom



Entry 8:
! InGePb2S5 PBE relaxed; values from VASP
&SYSTEM
  ibrav = 0, nat = 18, ntyp = 4
/
ATOMIC_SPECIES
Pb 207.20 Pb.upf
S 32.06 S.upf
Ge 72.64 Ge.upf
In 114.82 In.upf
CELL_PARAMETERS angstrom
4.127 0.000 0.000
-2.063 8.707 0.000
0.000 0.000 12.163
ATOMIC_POSITIONS crystal
Pb 0.133 0.266 0.679
Pb 0.880 0.759 0.827
Pb 0.120 0.241 0.327
Pb 0.867 0.734 0.179
S 0.316 0.631 0.375
S 0.493 0.986 0.776
S 0.044 0.088 0.023
S 0.684 0.369 0.875
S 0.297 0.593 0.669
S 0.507 0.014 0.276
S 0.352 0.703 0.013
S 0.956 0.912 0.523
S 0.648 0.297 0.513
S 0.703 0.407 0.169
Ge 0.442 0.884 0.435
Ge 0.558 0.116 0.935
In 0.204 0.409 0.027
In 0.796 0.591 0.527
! **Space-group type**: Cmc2_1 (36)
! **D(E_F)**: 0.142 states/eV/atom
! **DFT total energy**: -4.38 eV/atom
! **Formation energy (no corrections)**: -383 kJ/mol of formula units



- Which of these has the highest D(E_F)?
  BaCa2La



- Which value of D(E_F) does entry 5 give?
  1.205 states/eV/atom



- Which value of DFT total energy does entry 1 give?
  -2.59 eV/atom



- Which formula does entry 4 have?
  CdAs2Ru